Ba2UTlSe6 PBE optimized geometry; E_tot = -102.03 eV/cell; formation energy from raw total energies = -1.261 eV per atom; N(E_F) = 11.01 states/eV per cell; space group = P2_1/c (14)
1.0
7.474 0.000 0.000
0.000 8.091 0.000
-7.139 0.000 10.742
Ba U Tl Se
4 2 2 12
Direct
0.213 0.086 0.246 Ba
0.213 0.414 0.746 Ba
0.787 0.586 0.254 Ba
0.787 0.914 0.754 Ba
0.500 0.000 0.000 U
0.500 0.500 0.500 U
0.000 0.000 0.500 Tl
0.000 0.500 0.000 Tl
0.156 0.177 0.952 Se
0.156 0.323 0.452 Se
0.274 0.714 0.943 Se
0.274 0.786 0.443 Se
0.374 0.032 0.761 Se
0.374 0.468 0.261 Se
0.626 0.532 0.739 Se
0.626 0.968 0.239 Se
0.726 0.214 0.557 Se
0.726 0.286 0.057 Se
0.844 0.677 0.548 Se
0.844 0.823 0.048 Se